Here is a geometry-optimized Dy3HoP4 structure from Alexandria via LeMat-Bulk. Energies are from PBE.

As for the total moment: 0.00 Bohr magnetons per cell. The total energy is -52.95 eV/f.u.

It has space group Cmmm (No. 65), with a = 8.003 Å, b = 11.317 Å, c = 4.003 Å, α = 90.00°, β = 90.00° and γ = 90.00°. Symmetry generates all atoms from Dy at (0.000, 0.000, 0.000), Dy at (0.250, 0.250, 0.500), Ho at (0.000, 0.500, 0.000), P at (0.000, 0.250, 0.000) and P at (0.249, 0.500, 0.500).